Entry 1:
Material: CeSc2Tl2
Method: DFT, GGA-PBE
State: relaxed

Calculated values
The calculation puts the uncorrected energy at -4.5425 eV/atom. As for the calculated formation energy: 0.123 eV/atom. The crystal system is hexagonal. The density of states at the Fermi level comes out at 1.24 states/eV per atom.

Cell: 4.9893 4.9893 12.1436 Å, 90.00 90.00 120.00°
Last column: magnetic moment on the atom in μB.
Fractional positions:
Ce 0.0000 0.0000 0.2500  0.39
Ce 0.0000 0.0000 0.7500  0.39
Sc 0.6667 0.3333 0.7500  0.15
Sc 0.0000 0.0000 0.0000  0.02
Sc 0.0000 0.0000 0.5000  0.02
Sc 0.3333 0.6667 0.2500  0.15
Tl 0.3333 0.6667 0.6163  -0.01
Tl 0.6667 0.3333 0.1163  -0.01
Tl 0.6667 0.3333 0.3837  -0.01
Tl 0.3333 0.6667 0.8837  -0.01

---

Entry 2:
Material: Tb3CeY6Er2
Method: DFT, GGA-PBE
State: relaxed

Calculated values
The calculation puts the uncorrected energy at -5.6063 eV/atom. As for the calculated formation energy: 0.038 eV/atom. The crystal system is monoclinic. The density of states at the Fermi level comes out at 1.66 states/eV per atom.

Cell: 6.1631 6.1631 11.7923 Å, 94.99 94.99 119.97°
Last column: magnetic moment on the atom in μB.
Fractional positions:
Tb 0.1675 0.8325 0.5000  0.02
Tb 0.8325 0.1675 0.5000  0.02
Tb 0.5000 0.5000 0.5000  0.02
Ce 0.0000 0.0000 0.0000  -0.77
Y 0.9168 0.5851 0.7512  -0.01
Y 0.7514 0.7514 0.2489  -0.01
Y 0.0832 0.4149 0.2488  -0.01
Y 0.5851 0.9168 0.7512  -0.01
Y 0.2486 0.2486 0.7511  -0.01
Y 0.4149 0.0832 0.2488  -0.01
Er 0.3333 0.6667 0.0000  -0.05
Er 0.6667 0.3333 0.0000  -0.05

---

Entry 3:
Material: Tb7SmSc4
Method: DFT, GGA-PBE
State: relaxed

Calculated values
The calculation puts the uncorrected energy at -4.9678 eV/atom. As for the calculated formation energy: 0.237 eV/atom. The energy above the most stable polymorph in this dataset comes out at 214 meV/atom. The crystal system is monoclinic. The density of states at the Fermi level comes out at 1.69 states/eV per atom.

Cell: 5.7515 9.1295 8.2464 Å, 65.44 69.59 71.64°
Last column: magnetic moment on the atom in μB.
Fractional positions:
Tb 0.7882 0.8835 0.5401  0.01
Tb 0.2118 0.1165 0.4599  0.01
Tb 0.0897 0.5486 0.2720  0.00
Tb 0.9103 0.4514 0.7280  0.00
Tb 0.2369 0.7277 0.7986  0.01
Tb 0.5000 0.0000 0.0000  0.16
Tb 0.7631 0.2723 0.2014  0.01
Sm 0.0000 0.0000 0.0000  0.13
Sc 0.5574 0.3000 0.5852  0.00
Sc 0.4426 0.7000 0.4148  0.00
Sc 0.6650 0.6471 0.0228  0.01
Sc 0.3350 0.3529 0.9772  0.01

---

Entry 4:
Material: Sm2TmPuSb4
Method: DFT, GGA-PBE
State: relaxed

Calculated values
The calculation puts the uncorrected energy at -6.5853 eV/atom. The crystal system is monoclinic. Its uncorrected formation energy is -994 meV/atom. The density of states at the Fermi level comes out at 2.02 states/eV per atom.

Cell: 4.4346 7.6570 7.6630 Å, 109.46 90.00 90.00°
Last column: magnetic moment on the atom in μB.
Fractional positions:
Sm 0.5000 0.0000 0.5000  -0.02
Sm 0.0000 0.5000 0.5000  0.01
Tm 0.0000 0.0000 0.0000  -0.01
Pu 0.5000 0.5000 0.0000  5.17
Sb 0.5000 0.2454 0.2423  -0.04
Sb 0.5000 0.7546 0.7577  -0.04
Sb 0.0000 0.2501 0.7562  -0.06
Sb 0.0000 0.7499 0.2438  -0.06

---

Entry 5:
Material: BaFeN2
Method: DFT, GGA-PBE
State: relaxed

Calculated values
The calculation puts the uncorrected energy at -7.0134 eV/atom. The crystal system is tetragonal. Its uncorrected formation energy is -254 meV/atom. The density of states at the Fermi level comes out at 0.56 states/eV per atom.

Cell: 5.2056 5.2056 5.8964 Å, 63.80 63.80 90.00°
Fractional positions:
N 0.4635 0.1250 0.2500
N 0.2865 0.6250 0.2500
N 0.3750 0.5365 0.7500
N 0.8750 0.7135 0.7500
Ba 0.0000 0.0000 0.0000
Ba 0.7500 0.2500 0.5000
Fe 0.5000 0.5000 0.0000
Fe 0.2500 0.7500 0.5000

---

Entry 6:
Material: Sr3BrO
Method: DFT, GGA-PBE
State: relaxed

Calculated values
The calculation puts the uncorrected energy at -3.5381 eV/atom. The energy above the most stable polymorph in this dataset comes out at 0 meV/atom. The crystal system is cubic. Its uncorrected formation energy is -1203 meV/atom. The density of states at the Fermi level comes out at 1.22 states/eV per atom.

Cell: 5.3413 5.3413 5.3413 Å, 90.00 90.00 90.00°
Fractional positions:
Sr 0.0000 0.5000 0.0000
Sr 0.0000 0.0000 0.5000
Sr 0.5000 0.0000 0.0000
O 0.0000 0.0000 0.0000
Br 0.5000 0.5000 0.5000

---

Please write out number 4 again, unchanged.
Material: Sm2TmPuSb4
Method: DFT, GGA-PBE
State: relaxed

Calculated values
The calculation puts the uncorrected energy at -6.5853 eV/atom. The crystal system is monoclinic. Its uncorrected formation energy is -994 meV/atom. The density of states at the Fermi level comes out at 2.02 states/eV per atom.

Cell: 4.4346 7.6570 7.6630 Å, 109.46 90.00 90.00°
Last column: magnetic moment on the atom in μB.
Fractional positions:
Sm 0.5000 0.0000 0.5000  -0.02
Sm 0.0000 0.5000 0.5000  0.01
Tm 0.0000 0.0000 0.0000  -0.01
Pu 0.5000 0.5000 0.0000  5.17
Sb 0.5000 0.2454 0.2423  -0.04
Sb 0.5000 0.7546 0.7577  -0.04
Sb 0.0000 0.2501 0.7562  -0.06
Sb 0.0000 0.7499 0.2438  -0.06

---

Copy entry 1 word for word.
Material: CeSc2Tl2
Method: DFT, GGA-PBE
State: relaxed

Calculated values
The calculation puts the uncorrected energy at -4.5425 eV/atom. As for the calculated formation energy: 0.123 eV/atom. The crystal system is hexagonal. The density of states at the Fermi level comes out at 1.24 states/eV per atom.

Cell: 4.9893 4.9893 12.1436 Å, 90.00 90.00 120.00°
Last column: magnetic moment on the atom in μB.
Fractional positions:
Ce 0.0000 0.0000 0.2500  0.39
Ce 0.0000 0.0000 0.7500  0.39
Sc 0.6667 0.3333 0.7500  0.15
Sc 0.0000 0.0000 0.0000  0.02
Sc 0.0000 0.0000 0.5000  0.02
Sc 0.3333 0.6667 0.2500  0.15
Tl 0.3333 0.6667 0.6163  -0.01
Tl 0.6667 0.3333 0.1163  -0.01
Tl 0.6667 0.3333 0.3837  -0.01
Tl 0.3333 0.6667 0.8837  -0.01

---

Which value of uncorrected energy does entry 1 give? -4.5425 eV/atom